## Ca2AcPaBi4 (PBE)

Data for a relaxed Ca2AcPaBi4 crystal.

```
data_Ca2AcPaBi4
_symmetry_space_group_name_H-M 'P 1'
_symmetry_Int_Tables_number 1
_cell_length_a 7.953
_cell_length_b 4.696
_cell_length_c 8.141
_cell_angle_alpha 90.00
_cell_angle_beta 109.74
_cell_angle_gamma 90.00
loop_
_symmetry_equiv_pos_as_xyz
'x,y,z'
loop_
_atom_site_label
_atom_site_fract_x
_atom_site_fract_y
_atom_site_fract_z
Ca1 0.000 0.000 0.000
Ca2 0.000 0.500 0.500
Ac1 0.500 0.000 0.500
Pa1 0.500 0.500 0.000
Bi1 0.251 0.500 0.229
Bi2 0.261 0.000 0.771
Bi3 0.739 0.000 0.229
Bi4 0.749 0.500 0.771
```

Energy = -38.5 eV/f.u.
Space-group type = P2/m, No. 10
Magnetization = 0.2 μB/cell

## Ca2MgTa (PBE)

Data for a relaxed Ca2MgTa crystal.

```
data_Ca2MgTa
_symmetry_space_group_name_H-M 'P 1'
_symmetry_Int_Tables_number 1
_cell_length_a 6.673
_cell_length_b 6.673
_cell_length_c 6.673
_cell_angle_alpha 151.31
_cell_angle_beta 129.79
_cell_angle_gamma 58.86
loop_
_symmetry_equiv_pos_as_xyz
'x,y,z'
loop_
_atom_site_label
_atom_site_fract_x
_atom_site_fract_y
_atom_site_fract_z
Ca1 0.000 0.000 0.000
Ca2 0.710 0.210 0.500
Mg1 0.255 0.755 0.500
Ta1 0.459 0.459 0.000
```

Energy = -15.2 eV/f.u.
Space-group type = Imm2, No. 44
Magnetization = 1.0 μB/cell

## In2CoSb (PBE)

Data for a relaxed In2CoSb crystal.

```
data_In2CoSb
_symmetry_space_group_name_H-M 'P 1'
_symmetry_Int_Tables_number 1
_cell_length_a 5.309
_cell_length_b 5.309
_cell_length_c 5.309
_cell_angle_alpha 129.65
_cell_angle_beta 129.65
_cell_angle_gamma 73.97
loop_
_symmetry_equiv_pos_as_xyz
'x,y,z'
loop_
_atom_site_label
_atom_site_fract_x
_atom_site_fract_y
_atom_site_fract_z
In1 0.000 0.000 0.000
In2 0.750 0.250 0.500
Co1 0.500 0.500 0.000
Sb1 0.250 0.750 0.500
```

Energy = -15.0 eV/f.u.
Space-group type = I-4m2, No. 119
Magnetization = 1.3 μB/cell

## BaC3 (PBE)

Data for a relaxed BaC3 crystal.

```
data_BaC3
_symmetry_space_group_name_H-M 'P 1'
_symmetry_Int_Tables_number 1
_cell_length_a 10.024
_cell_length_b 10.024
_cell_length_c 10.024
_cell_angle_alpha 161.14
_cell_angle_beta 161.14
_cell_angle_gamma 26.79
loop_
_symmetry_equiv_pos_as_xyz
'x,y,z'
loop_
_atom_site_label
_atom_site_fract_x
_atom_site_fract_y
_atom_site_fract_z
Ba1 0.120 0.120 0.000
Ba2 0.880 0.880 0.000
C1 0.000 0.500 0.500
C2 0.250 0.750 0.500
C3 0.274 0.274 0.000
C4 0.500 0.000 0.500
C5 0.726 0.726 0.000
C6 0.750 0.250 0.500
```

Energy = -21.9 eV/f.u.
Space-group type = I4/mmm, No. 139
Offset from the most stable computed form = 6.68 eV/f.u.
Magnetization = 0.0 μB/cell

- Number 3 is which compound?
  In2CoSb

- Among the records above, which one has the lowest energy?
  Ca2AcPaBi4

- energy of number 2 (Ca2MgTa)?
  -15.2 eV/f.u.

- Look up the energy of the third one.
  -15.0 eV/f.u.